No. 1
Compound: Be2FeSb
Source: Alexandria
Functional: GGA-PBE
Structure: optimized geometry

Lattice parameters (Å, degrees): 4.5413 4.5413 4.5413 133.28 133.28 68.21
Closest atoms and distances in Å follow each position.
Positions (direct):
Be 0.2500 0.7500 0.5000  4 Be 2.55, 4 Fe 2.60, 4 Sb 2.60
Be 0.7500 0.2500 0.5000  4 Be 2.55, 4 Fe 2.60, 4 Sb 2.60
Fe 0.0000 0.0000 0.0000  4 Sb 2.55, 8 Be 2.60
Sb 0.5000 0.5000 0.0000  4 Fe 2.55, 8 Be 2.60

Results
space-group type = No. 139
uncorrected energy = -4.709 eV per atom

=====

No. 2
Compound: AlSeIN2
Source: Alexandria
Functional: GGA-PBE
Structure: optimized geometry

Lattice parameters (Å, degrees): 3.8339 3.8339 7.7353 90.00 90.00 90.00
Closest atoms and distances in Å follow each position.
Positions (direct):
Al 0.0000 0.0000 0.0000  4 N 1.92
Se 0.5000 0.5000 0.5000  4 I 2.71
I 0.0000 0.0000 0.5000  4 Se 2.71
N 0.0000 0.5000 0.0000  2 Al 1.92
N 0.5000 0.0000 0.0000  2 Al 1.92

Results
space-group type = No. 123
E above lowest polymorph = 65 meV per atom

=====

No. 3
Compound: Cd2HgPd4
Source: Alexandria
Functional: GGA-PBE
Structure: optimized geometry

Lattice parameters (Å, degrees): 5.5695 5.5695 5.5695 108.36 108.36 111.71
Closest atoms and distances in Å follow each position.
Positions (direct):
Cd 0.0000 0.5000 0.5000  8 Pd 2.78
Cd 0.5000 0.0000 0.5000  8 Pd 2.78
Hg 0.0000 0.0000 0.0000  8 Pd 2.78
Pd 0.0000 0.0000 0.5000  2 Hg 2.78, 4 Cd 2.78
Pd 0.0000 0.5000 0.0000  2 Hg 2.78, 4 Cd 2.78
Pd 0.5000 0.0000 0.0000  2 Hg 2.78, 4 Cd 2.78
Pd 0.5000 0.5000 0.5000  2 Hg 2.78, 4 Cd 2.78

Results
calculated formation energy = -151 meV/atom
space-group type = No. 139
E above lowest polymorph = 35 meV per atom

=====

No. 4
Compound: Pa8Ge3Se5
Source: Alexandria
Functional: GGA-PBE
Structure: optimized geometry

Lattice parameters (Å, degrees): 8.0955 8.0955 8.0955 61.55 61.55 61.55
Closest atoms and distances in Å follow each position.
Positions (direct):
Pa 0.2499 0.2499 0.2499  3 Se 2.89, 3 Ge 2.90
Pa 0.2508 0.2508 0.7492  4 Se 2.89-2.90, 2 Ge 2.90
Pa 0.2508 0.7492 0.2508  4 Se 2.89-2.90, 2 Ge 2.90
Pa 0.2508 0.7492 0.7492  4 Se 2.89-2.90, 2 Ge 2.90
Pa 0.7492 0.2508 0.2508  4 Se 2.89-2.90, 2 Ge 2.90
Pa 0.7492 0.2508 0.7492  4 Se 2.89-2.90, 2 Ge 2.90
Pa 0.7492 0.7492 0.2508  4 Se 2.89-2.90, 2 Ge 2.90
Pa 0.7501 0.7501 0.7501  3 Se 2.89, 3 Ge 2.90
Ge 0.0000 0.5000 0.5000  6 Pa 2.90
Ge 0.5000 0.0000 0.5000  6 Pa 2.90
Ge 0.5000 0.5000 0.0000  6 Pa 2.90
Se 0.0000 0.0000 0.0000  6 Pa 2.90
Se 0.0000 0.0000 0.5000  6 Pa 2.89-2.90
Se 0.0000 0.5000 0.0000  6 Pa 2.89-2.90
Se 0.5000 0.0000 0.0000  6 Pa 2.89-2.90
Se 0.5000 0.5000 0.5000  6 Pa 2.89

Results
space-group type = No. 166
uncorrected energy = -7.666 eV per atom

=====

No. 5
Compound: Cs12CdHg5
Source: Alexandria
Functional: GGA-PBE
Structure: optimized geometry

Lattice parameters (Å, degrees): 11.6083 11.6083 11.6083 112.50 110.87 105.13
Closest atoms and distances in Å follow each position.
Positions (direct):
Cs 0.0409 0.2328 0.8080  2 Hg 4.06-4.15, 1 Cd 4.54
Cs 0.1814 0.2817 0.4631  4 Hg 4.01-4.43
Cs 0.1814 0.7183 0.8997  4 Hg 4.01-4.43
Cs 0.3286 0.0270 0.6984  3 Hg 3.90-3.99
Cs 0.3286 0.6302 0.3016  3 Hg 3.90-3.99
Cs 0.4248 0.2328 0.1920  2 Hg 4.06-4.15, 1 Cd 4.54
Cs 0.5752 0.7672 0.8080  2 Hg 4.06-4.15, 1 Cd 4.54
Cs 0.6714 0.3698 0.6984  3 Hg 3.90-3.99
Cs 0.6714 0.9730 0.3016  3 Hg 3.90-3.99
Cs 0.8186 0.2817 0.1003  4 Hg 4.01-4.43
Cs 0.8186 0.7183 0.5369  4 Hg 4.01-4.43
Cs 0.9591 0.7672 0.1920  2 Hg 4.06-4.15, 1 Cd 4.54
Cd 0.5000 0.5000 0.0000  12 Cs 4.54-5.05
Hg 0.0000 0.0000 0.0000  8 Cs 4.15-4.35
Hg 0.1114 0.6114 0.5000  1 Hg 3.14
Hg 0.3735 0.0000 0.3735  1 Hg 3.33
Hg 0.6265 0.0000 0.6265  1 Hg 3.33
Hg 0.8886 0.3886 0.5000  1 Hg 3.14

Results
calculated formation energy = -130 meV/atom
space-group type = No. 71

=====

No. 6
Compound: HgBi2S2
Source: Alexandria
Functional: GGA-PBE
Structure: optimized geometry

Lattice parameters (Å, degrees): 8.6076 8.6076 3.6972 90.00 90.00 90.00
Closest atoms and distances in Å follow each position.
Positions (direct):
Hg 0.0000 0.0000 0.0000  4 S 3.36, 8 Bi 3.59, 2 Hg 3.70
Hg 0.5000 0.5000 0.0000  4 S 3.36, 8 Bi 3.59, 2 Hg 3.70
Bi 0.2113 0.2887 0.5000  2 S 2.65
Bi 0.2887 0.7887 0.5000  2 S 2.65
Bi 0.7113 0.2113 0.5000  2 S 2.65
Bi 0.7887 0.7113 0.5000  2 S 2.65
S 0.1327 0.6327 0.0000  2 Bi 2.65
S 0.3673 0.1327 0.0000  2 Bi 2.65
S 0.6327 0.8673 0.0000  2 Bi 2.65
S 0.8673 0.3673 0.0000  2 Bi 2.65

Results
space-group type = No. 127
E above lowest polymorph = 200 meV per atom